# NaTi2Pb

A geometry-optimized NaTi2Pb structure (PBE, Alexandria).

The structure belongs to space group I-42d (No. 122); the cell edges are 7.969, 7.969 and 5.619 Å and the angles 90.00°, 90.00° and 90.00°. The inequivalent atoms are Na at (0.000, 0.000, 0.000), Ti at (0.239, 0.250, 0.625) and Pb at (0.000, 0.000, 0.500).

Its total energy is -0.1662 Ha/atom. Its calculated formation energy is 0.6828 eV/atom.